Density functional theory data (PBE-GGA) for a relaxed structure of NbZnCrB2.

Computed properties:
E_form: 1610.8 meV/atom
total magnetic moment: 2.43 Bohr magnetons per cell

Cell: 4.2836 4.2836 4.7853 Å, 90.00 90.00 90.00°
Space group P4/mmm (No. 123)
Symmetry-distinct sites (fractional):
Nb 0.0000 0.0000 0.0000
Zn 0.5000 0.5000 0.5000
Cr 0.0000 0.0000 0.5000
B 0.0000 0.5000 0.0000